The following is a DFT calculation (GGA-PBE) of a geometry-optimized AlTeSeBr2 structure.

## Properties
The value obtained for the formation energy (no corrections) is 0.13 eV/atom. The density of states at the Fermi level comes out at 0.189 states/eV/atom. The calculation puts the energy above the lowest structure with this stoichiometry at 227 meV per atom.

a = 5.626 Å, b = 5.626 Å, c = 5.508 Å
α = 90.00°, β = 90.00°, γ = 90.00°
Space group P4/mmm (No. 123)
Unique sites:
Al 0.000 0.000 0.000 (multiplicity 1)
Te 0.500 0.500 0.500 (multiplicity 1)
Se 0.500 0.500 0.000 (multiplicity 1)
Br 0.000 0.500 0.500 (multiplicity 2)